Density functional theory data (PBE-GGA) for a relaxed structure of Nd3DyHo7.

Geometry as POSCAR:
```
Nd3DyHo7
1.0
7.0577 0.0000 0.0000
-3.5289 6.1122 0.0000
0.0000 0.0000 8.6731
Nd Dy Ho
3 1 7
direct
0.9999 0.5000 0.0000
0.5000 0.0001 0.0000
0.5000 0.5000 0.0000
0.3333 0.6667 0.6608
0.1675 0.3350 0.3379
0.1675 0.8325 0.3379
0.3350 0.1675 0.6617
0.6650 0.8325 0.3379
0.6667 0.3333 0.3390
0.8325 0.1675 0.6617
0.8325 0.6650 0.6617
```

Volume: 34.013 Å³/atom
Final energy: -4.46 eV/atom

---

Density functional theory data (PBE-GGA) for a relaxed structure of Tm6GeTe3Rh2.

Geometry as POSCAR:
```
Tm6GeTe3Rh2
1.0
3.5551 -6.1597 0.0000
3.5551 6.1597 0.0000
-2.3908 0.0000 7.1332
Tm Ge Te Rh
6 1 3 2
direct
0.0875 0.4306 0.7889
0.2287 0.2287 0.2106
0.4306 0.0875 0.7889
0.5694 0.9125 0.2111
0.7713 0.7713 0.7894
0.9125 0.5694 0.2111
0.5000 0.5000 0.0000
0.0000 0.0000 0.5000
0.3358 0.6642 0.5000
0.6642 0.3358 0.5000
0.1665 0.8335 0.0000
0.8335 0.1665 0.0000
```

Volume: 26.034 Å³/atom
Formation energy from raw total energies: -1.0295 eV per atom
Final energy: -5.66 eV/atom

---

Density functional theory data (PBE-GGA) for a relaxed structure of Sm3Dy4Bi8.

Geometry as POSCAR:
```
Sm3Dy4Bi8
1.0
6.3556 -6.3595 0.0000
6.3556 6.3595 0.0000
-6.3186 0.0000 6.3627
Sm Dy Bi
3 4 8
direct
0.0000 0.0000 0.0000
0.0000 0.5000 0.0000
0.5000 0.0000 0.0000
0.0000 0.5000 0.5000
0.5000 0.0000 0.5000
0.5000 0.5000 0.0000
0.5000 0.5000 0.5000
0.2472 0.7528 0.5000
0.2491 0.2491 0.5044
0.2496 0.2496 0.9948
0.2518 0.7482 0.0000
0.7482 0.2518 0.0000
0.7504 0.7504 0.0052
0.7509 0.7509 0.4956
0.7528 0.2472 0.5000
```

Volume: 34.289 Å³/atom
Final energy: -4.93 eV/atom